A relaxed structure of La2Nd3Dy6Pu, computed with PBE-GGA.

Calculated values
* calculated volume: 775.2 Å³/cell
* total DFT energy (no corrections): -63.176 eV per formula unit
* formation enthalpy at 0 K: 0.244 eV per atom

Unit cell a=6.2050 b=10.7799 c=11.7772 alpha=90.00 beta=100.25 gamma=90.00
Space group C2/m (No. 12)
Symmetry-distinct sites (fractional):
La 0.0000 0.1656 0.0000 (multiplicity 4)
Nd 0.0000 0.0000 0.5000 (multiplicity 2)
Nd 0.0000 0.3327 0.5000 (multiplicity 4)
Dy 0.2441 0.3369 0.2458 (multiplicity 8)
Dy 0.2460 0.5000 0.7535 (multiplicity 4)
Pu 0.0000 0.5000 0.0000 (multiplicity 2)